First-principles (PBE) data for a geometry-optimized Ho2BBr structure, as listed in the Alexandria database.

Output
Energy relative to the elements, uncorrected ... -0.78 eV/atom
SG ... R-3m (166)

a b c (Å): 7.3849 7.3849 7.3849
angles (deg): 30.31 30.31 30.31
Last column: nearest neighbours and their distance in Å.
Sites, in units of the cell vectors:
Ho (0.2284, 0.2284, 0.2284)  3 B 2.58
Ho (0.7716, 0.7716, 0.7716)  3 B 2.58
B (0.5000, 0.5000, 0.5000)  6 Ho 2.58
Br (0.0000, 0.0000, 0.0000)  6 Ho 3.14



First-principles (PBE) data for a geometry-optimized NiBr structure, as listed in the Alexandria database.

Output
Energy relative to the elements, uncorrected ... 0.02 eV/atom
SG ... Ama2 (40)

a b c (Å): 4.0804 4.5607 4.5607
angles (deg): 91.04 90.00 90.00
Last column: nearest neighbours and their distance in Å.
Sites, in units of the cell vectors:
Ni (0.2500, 0.1031, 0.8969)  4 Br 2.40-2.54, 2 Ni 2.44
Ni (0.7500, 0.8969, 0.1031)  4 Br 2.40-2.54, 2 Ni 2.44
Br (0.2500, 0.8926, 0.4098)  4 Ni 2.40-2.54
Br (0.7500, 0.4098, 0.8926)  4 Ni 2.40-2.54



First-principles (PBE) data for a geometry-optimized FeNiW2 structure, as listed in the Alexandria database.

Output
SG ... Cmmm (65)
Offset from the most stable computed form ... 14.1 meV/atom

a b c (Å): 4.5439 4.5439 2.7163
angles (deg): 90.00 90.00 107.78
Last column: nearest neighbours and their distance in Å.
Sites, in units of the cell vectors:
Fe (0.0000, 0.0000, 0.0000)  8 W 2.65, 2 Ni 2.68, 2 Fe 2.72
Ni (0.5000, 0.5000, 0.0000)  8 W 2.65, 2 Fe 2.68, 2 Ni 2.72
W (0.0000, 0.5000, 0.5000)  4 Fe 2.65, 4 Ni 2.65, 4 W 2.68-2.72
W (0.5000, 0.0000, 0.5000)  4 Fe 2.65, 4 Ni 2.65, 4 W 2.68-2.72



First-principles (PBE) data for a geometry-optimized LaSmHoAl structure, as listed in the Alexandria database.

Output
SG ... F-43m (216)
Offset from the most stable computed form ... 108.8 meV/atom

a b c (Å): 5.4699 5.4699 5.4699
angles (deg): 60.00 60.00 60.00
Last column: nearest neighbours and their distance in Å.
Sites, in units of the cell vectors:
La (0.0000, 0.0000, 0.0000)  4 Al 3.35, 4 Ho 3.35
Sm (0.5000, 0.5000, 0.5000)  4 Ho 3.35, 4 Al 3.35
Ho (0.7500, 0.7500, 0.7500)  4 La 3.35, 4 Sm 3.35
Al (0.2500, 0.2500, 0.2500)  4 Sm 3.35, 4 La 3.35



First-principles (PBE) data for a geometry-optimized Cu3PAu structure, as listed in the Alexandria database.

Output
SG ... Pm-3m (221)
Offset from the most stable computed form ... 0.0 meV/atom

a b c (Å): 4.3293 4.3293 4.3293
angles (deg): 90.00 90.00 90.00
Last column: nearest neighbours and their distance in Å.
Sites, in units of the cell vectors:
Cu (0.0000, 0.0000, 0.5000)  2 P 2.16
Cu (0.0000, 0.5000, 0.0000)  2 P 2.16
Cu (0.5000, 0.0000, 0.0000)  2 P 2.16
P (0.0000, 0.0000, 0.0000)  6 Cu 2.16
Au (0.5000, 0.5000, 0.5000)  12 Cu 3.06



First-principles (PBE) data for a geometry-optimized LiTcIr2 structure, as listed in the Alexandria database.

Output
SG ... I4/mmm (139)
Offset from the most stable computed form ... 82.3 meV/atom

a b c (Å): 4.5804 4.5804 4.5804
angles (deg): 129.83 129.83 73.69
Last column: nearest neighbours and their distance in Å.
Sites, in units of the cell vectors:
Li (0.0000, 0.0000, 0.0000)  8 Ir 2.67, 4 Tc 2.75
Tc (0.5000, 0.5000, 0.0000)  8 Ir 2.67, 4 Li 2.75
Ir (0.2500, 0.7500, 0.5000)  4 Tc 2.67, 4 Li 2.67, 4 Ir 2.75
Ir (0.7500, 0.2500, 0.5000)  4 Tc 2.67, 4 Li 2.67, 4 Ir 2.75



First-principles (PBE) data for a geometry-optimized CaBeBr2 structure, as listed in the Alexandria database.

Output
Energy relative to the elements, uncorrected ... -0.62 eV/atom
SG ... P4mm (99)
Offset from the most stable computed form ... 181.8 meV/atom

a b c (Å): 3.5124 3.5124 8.6804
angles (deg): 90.00 90.00 90.00
Last column: nearest neighbours and their distance in Å.
Sites, in units of the cell vectors:
Ca (0.0000, 0.0000, 0.0000)  5 Br 3.01-3.21, 4 Be 3.29
Be (0.5000, 0.5000, 0.2480)  4 Br 2.70
Br (0.0000, 0.0000, 0.3698)  4 Be 2.70
Br (0.5000, 0.5000, 0.8050)  4 Ca 3.01